{"formula": "Ti3Ga2", "functional": "GGA-PBE", "state": "optimized geometry", "lattice": [[0.0000, 4.0952, 7.3843], [2.7893, 0.0000, 7.3843], [2.7893, 4.0952, 0.0000]], "species": ["Ti", "Ti", "Ti", "Ti", "Ti", "Ti", "Ga", "Ga", "Ga", "Ga"], "frac_coords": [[0.1730, 0.1730, 0.8270], [0.2087, 0.5888, 0.4112], [0.4112, 0.7913, 0.2087], [0.5888, 0.2087, 0.7913], [0.7913, 0.4112, 0.5888], [0.8270, 0.8270, 0.1730], [0.2126, 0.7874, 0.7874], [0.2500, 0.2500, 0.2500], [0.7500, 0.7500, 0.7500], [0.7874, 0.2126, 0.2126]], "spacegroup": "Fmmm, No. 69", "ef_ev_per_fu": -1.35}


{"formula": "Cr2CoRu", "functional": "GGA-PBE", "state": "optimized geometry", "lattice": [[1.4362, -2.1032, 0.0000], [1.4362, 2.1032, 0.0000], [0.0000, 0.0000, 8.1071]], "species": ["Cr", "Cr", "Co", "Ru"], "frac_coords": [[0.0000, 0.0000, 0.0000], [0.5000, 0.5000, 0.2344], [0.0000, 0.0000, 0.4742], [0.5000, 0.5000, 0.7406]], "spacegroup": "Cmm2, No. 35", "ef_ev_per_fu": 0.93}


{"formula": "Ce2H2Ir", "functional": "GGA-PBE", "state": "optimized geometry", "lattice": [[0.0000, 4.7685, 4.9097], [3.6083, 0.0000, 4.9097], [3.6083, 4.7685, 0.0000]], "species": ["Ce", "Ce", "Ce", "Ce", "H", "H", "H", "H", "Ir", "Ir"], "frac_coords": [[0.0955, 0.6545, 0.0955], [0.3455, 0.9045, 0.3455], [0.6545, 0.0955, 0.6545], [0.9045, 0.3455, 0.9045], [0.0150, 0.0150, 0.2350], [0.2350, 0.2350, 0.0150], [0.7650, 0.7650, 0.9850], [0.9850, 0.9850, 0.7650], [0.3750, 0.3750, 0.3750], [0.6250, 0.6250, 0.6250]], "spacegroup": "Fddd, No. 70", "total_energy_ha_per_atom": -0.2206}


{"formula": "LaFeTc2", "functional": "GGA-PBE", "state": "optimized geometry", "lattice": [[2.5906, -4.7717, 0.0000], [2.5906, 4.7717, 0.0000], [0.0000, 0.0000, 2.8198]], "species": ["La", "Fe", "Tc", "Tc"], "frac_coords": [[0.0000, 0.0000, 0.0000], [0.5000, 0.5000, 0.0000], [0.0000, 0.5000, 0.5000], [0.5000, 0.0000, 0.5000]], "spacegroup": "Cmmm, No. 65", "ef_ev_per_fu": 2.86}


{"formula": "PBr", "functional": "GGA-PBE", "state": "optimized geometry", "lattice": [[8.2505, -1.5693, 0.0000], [8.2505, 1.5693, 0.0000], [-2.9669, 0.0000, 7.3340]], "species": ["P", "P", "P", "Br", "Br", "Br"], "frac_coords": [[0.0000, 0.0000, 0.0000], [0.1434, 0.1434, 0.1098], [0.5448, 0.5448, 0.8493], [0.2826, 0.2826, 0.8278], [0.6798, 0.6798, 0.3718], [0.9633, 0.9633, 0.5337]], "spacegroup": "Cm, No. 8", "e_form_raw_ev_per_atom": 0.177}


{"formula": "KLiPCl2", "functional": "GGA-PBE", "state": "optimized geometry", "lattice": [[5.0845, 0.0000, 0.0000], [0.0000, 5.0845, 0.0000], [0.0000, 0.0000, 5.0667]], "species": ["K", "Li", "P", "Cl", "Cl"], "frac_coords": [[0.0000, 0.0000, 0.0000], [0.5000, 0.5000, 0.5000], [0.5000, 0.5000, 0.0000], [0.0000, 0.5000, 0.5000], [0.5000, 0.0000, 0.5000]], "spacegroup": "P4/mmm, No. 123", "e_form_raw_ev_per_atom": -0.664}